w.
The following is a DFT calculation (PBE) of a relaxed Er3Tm2Cd2 crystal. Values from VASP.

The structure in Quantum ESPRESSO input format:
```
&SYSTEM
  ibrav = 0, nat = 7, ntyp = 3
/
ATOMIC_SPECIES
Er 167.26 Er.upf
Tm 168.93 Tm.upf
Cd 112.41 Cd.upf
ATOMIC_POSITIONS angstrom
Er 2.6538 0.0000 0.0000
Er 2.6538 0.2512 3.6721
Er 0.0000 1.8165 4.0607
Tm 2.6538 3.2111 1.9729
Tm 0.0000 -1.1435 5.7599
Cd 2.6538 0.4642 6.7779
Cd 0.0000 1.6035 0.9550
CELL_PARAMETERS angstrom
5.3075 0.0000 0.0000
-2.6538 4.5906 -0.3109
0.0000 -2.5229 8.0437
```

---

x.
The following is a DFT calculation (PBE) of a relaxed Er3Tm2Cd2 crystal. Values from VASP.

The structure in Quantum ESPRESSO input format:
```
&SYSTEM
  ibrav = 0, nat = 7, ntyp = 3
/
ATOMIC_SPECIES
Er 167.26 Er.upf
Tm 168.93 Tm.upf
Cd 112.41 Cd.upf
ATOMIC_POSITIONS angstrom
Er 1.5361 2.3592 5.3464
Er 0.0000 0.0000 0.0000
Er 6.3338 0.3462 5.3020
Tm 3.7859 0.5304 7.4711
Tm 2.9198 -0.6345 4.7515
Cd 6.6261 0.1051 8.8125
Cd 0.0796 -0.2092 3.4101
CELL_PARAMETERS angstrom
-1.4410 2.8050 3.9403
-1.1642 -2.8094 1.5742
9.3109 -0.0996 6.7081
```

---

Most stable = w

---

w.
The following is a DFT calculation (PBE) of a relaxed YErTmCd crystal. Values from VASP.

The structure in Quantum ESPRESSO input format:
```
&SYSTEM
  ibrav = 0, nat = 4, ntyp = 4
/
ATOMIC_SPECIES
Y 88.91 Y.upf
Cd 112.41 Cd.upf
Tm 168.93 Tm.upf
Er 167.26 Er.upf
ATOMIC_POSITIONS angstrom
Y -0.2466 -9.9076 -0.7751
Cd 0.0000 0.0000 0.0000
Tm -0.1644 -6.6051 -0.5167
Er -0.0822 -3.3025 -0.2584
CELL_PARAMETERS angstrom
-1.4018 -4.1496 -3.1775
2.9989 -4.5039 -0.0487
-1.9259 -4.5567 2.1928
```

---

x.
The following is a DFT calculation (PBE) of a relaxed YErTmCd crystal. Values from VASP.

The structure in Quantum ESPRESSO input format:
```
&SYSTEM
  ibrav = 0, nat = 4, ntyp = 4
/
ATOMIC_SPECIES
Y 88.91 Y.upf
Er 167.26 Er.upf
Tm 168.93 Tm.upf
Cd 112.41 Cd.upf
ATOMIC_POSITIONS angstrom
Y 6.7224 -1.9275 3.0834
Er 0.6612 0.0011 0.1420
Tm 2.6880 -1.9341 2.2170
Cd 5.0003 0.0082 1.0739
CELL_PARAMETERS angstrom
-0.7433 -0.3360 3.4633
0.0761 -3.5422 -0.3273
8.8189 0.0144 1.8941
```

---

Most stable = x

---

w.
The following is a DFT calculation (PBE) of a relaxed Er2VCd crystal. Values from VASP.

The structure in Quantum ESPRESSO input format:
```
&SYSTEM
  ibrav = 0, nat = 4, ntyp = 3
/
ATOMIC_SPECIES
V 50.94 V.upf
Cd 112.41 Cd.upf
Er 167.26 Er.upf
ATOMIC_POSITIONS angstrom
V 1.7951 1.7951 0.0000
Cd 1.7951 1.7951 3.7344
Er 0.0000 0.0000 5.7619
Er 0.0000 0.0000 1.7069
CELL_PARAMETERS angstrom
3.5902 0.0000 0.0000
0.0000 3.5902 0.0000
0.0000 0.0000 7.4688
```

---

x.
The following is a DFT calculation (PBE) of a relaxed Er2VCd crystal. Values from VASP.

The structure in Quantum ESPRESSO input format:
```
&SYSTEM
  ibrav = 0, nat = 4, ntyp = 3
/
ATOMIC_SPECIES
V 50.94 V.upf
Cd 112.41 Cd.upf
Er 167.26 Er.upf
ATOMIC_POSITIONS angstrom
V 0.0000 0.0000 0.0000
Cd -3.1827 4.4427 3.8085
Er -1.1610 5.6612 6.0732
Er -5.2044 3.2241 1.5437
CELL_PARAMETERS angstrom
-2.2811 1.9083 -1.3391
-3.1470 -0.4728 0.7149
-0.9373 7.4499 8.2410
```

---

Most stable = w

---

w.
The following is a DFT calculation (PBE) of a relaxed Y8Er2Cd crystal. Values from VASP.

The structure in Quantum ESPRESSO input format:
```
&SYSTEM
  ibrav = 0, nat = 11, ntyp = 3
/
ATOMIC_SPECIES
Y 88.91 Y.upf
Er 167.26 Er.upf
Cd 112.41 Cd.upf
ATOMIC_POSITIONS angstrom
Y 1.8077 4.6068 5.1935
Y 1.8077 6.4617 2.5381
Y 4.8426 10.1053 5.0833
Y 1.8694 8.2104 5.7351
Y 4.8426 8.2505 7.7387
Y 1.5030 2.5812 1.8030
Y 5.1473 12.1310 8.4738
Y 4.7808 6.5018 4.5416
Er 4.4776 3.9553 2.7629
Er 2.1726 10.7568 7.5139
Cd 0.0000 0.0000 0.0000
CELL_PARAMETERS angstrom
5.6708 -0.3928 -0.2744
0.4897 9.5056 2.4795
0.4897 5.5993 8.0717
```

---

x.
The following is a DFT calculation (PBE) of a relaxed Y8Er2Cd crystal. Values from VASP.

The structure in Quantum ESPRESSO input format:
```
&SYSTEM
  ibrav = 0, nat = 11, ntyp = 3
/
ATOMIC_SPECIES
Y 88.91 Y.upf
Er 167.26 Er.upf
Cd 112.41 Cd.upf
ATOMIC_POSITIONS angstrom
Y -4.6082 -2.7481 6.3839
Y -3.4043 -2.3788 0.6210
Y -5.7291 -3.0386 3.2318
Y -5.6035 -6.0832 5.6759
Y 0.3045 -4.5106 3.5161
Y -2.0203 -5.1704 6.1269
Y -0.8164 -4.8011 0.3641
Y 0.1789 -1.4660 1.0721
Er -3.0915 -5.4069 2.8855
Er -2.3332 -2.1423 3.8624
Cd -1.5609 -1.4805 -1.7640
CELL_PARAMETERS angstrom
-3.1217 -2.9609 -3.5281
3.0553 -5.3488 1.7856
-5.3582 0.7606 8.4904
```

---

Most stable = x

---

w.
The following is a DFT calculation (PBE) of a relaxed YEr3Cd crystal. Values from VASP.

The structure in Quantum ESPRESSO input format:
```
&SYSTEM
  ibrav = 0, nat = 20, ntyp = 3
/
ATOMIC_SPECIES
Y 88.91 Y.upf
Er 167.26 Er.upf
Cd 112.41 Cd.upf
ATOMIC_POSITIONS angstrom
Y 5.1213 5.2679 2.2163
Y 3.1965 7.1986 4.4333
Y -0.1292 3.4589 7.8042
Y 1.7956 1.5281 5.5872
Er 3.2218 3.0754 0.1713
Er 5.0960 8.9231 6.8858
Er 1.7703 5.6514 9.8491
Er -0.1039 -0.1963 3.1347
Er 5.1331 6.2817 8.7429
Er 3.1847 0.8731 2.5326
Er -0.1410 2.4451 1.2776
Er 1.8074 7.8537 7.4879
Er 1.9334 4.1971 3.3402
Er -0.2669 6.0513 5.4692
Er 3.0587 4.5297 6.6803
Er 5.2591 2.6755 4.5512
Cd 0.8332 -0.4392 9.2498
Cd 4.1589 9.1660 0.7707
Cd 0.8332 7.3458 2.4699
Cd 4.1589 1.3810 7.5505
CELL_PARAMETERS angstrom
6.6513 -0.1130 -0.1297
-0.8296 9.5036 0.6477
-0.8296 -0.6639 9.5025
```

---

x.
The following is a DFT calculation (PBE) of a relaxed YEr3Cd crystal. Values from VASP.

The structure in Quantum ESPRESSO input format:
```
&SYSTEM
  ibrav = 0, nat = 10, ntyp = 3
/
ATOMIC_SPECIES
Y 88.91 Y.upf
Er 167.26 Er.upf
Cd 112.41 Cd.upf
ATOMIC_POSITIONS angstrom
Y -7.9224 4.6926 4.9943
Y -5.4450 1.8066 -0.4777
Er -7.0606 1.6363 2.6966
Er -2.3121 -0.0512 -1.0379
Er -6.7281 -1.2332 0.8161
Er -6.3067 4.8629 1.8200
Er -6.6392 7.7324 3.7004
Er -11.0552 6.5504 5.5544
Cd -9.8128 3.1974 2.8632
Cd -3.5545 3.3018 1.6534
CELL_PARAMETERS angstrom
-1.6092 1.6415 -2.7885
-5.9863 -2.9577 -0.6279
-5.7718 7.8154 7.9329
```

---

Most stable = x

---

w.
The following is a DFT calculation (PBE) of a relaxed Y4ErCd crystal. Values from VASP.

The structure in Quantum ESPRESSO input format:
```
&SYSTEM
  ibrav = 0, nat = 12, ntyp = 3
/
ATOMIC_SPECIES
Y 88.91 Y.upf
Er 167.26 Er.upf
Cd 112.41 Cd.upf
ATOMIC_POSITIONS angstrom
Y -2.8490 5.0787 0.4823
Y -4.8560 0.0729 2.9241
Y -3.3315 3.3616 3.5896
Y -3.2199 1.0018 5.9302
Y -3.8393 0.2776 -1.7460
Y -3.7277 -2.0823 0.5946
Y -2.2032 1.2065 1.2601
Y -4.2102 -3.7993 3.7019
Er -1.7140 -1.3496 3.7454
Er -5.3452 2.6289 0.4388
Cd -0.9876 -0.9092 -0.8396
Cd -6.0717 2.1886 5.0238
CELL_PARAMETERS angstrom
-3.9433 -3.6425 -3.3605
0.5112 -2.4755 8.5937
-3.6272 7.3973 -1.0491
```

---

x.
The following is a DFT calculation (PBE) of a relaxed Y4ErCd crystal. Values from VASP.

The structure in Quantum ESPRESSO input format:
```
&SYSTEM
  ibrav = 0, nat = 6, ntyp = 3
/
ATOMIC_SPECIES
Y 88.91 Y.upf
Er 167.26 Er.upf
Cd 112.41 Cd.upf
ATOMIC_POSITIONS angstrom
Y 1.7901 1.7894 11.6740
Y 1.7904 1.7897 2.4699
Y 3.5806 3.5792 9.1345
Y -0.0001 -0.0001 5.0095
Er 0.0000 0.0000 0.0000
Cd 1.7902 1.7896 7.0720
CELL_PARAMETERS angstrom
3.5802 -0.0007 0.0002
0.0007 3.5802 0.0002
-0.0004 -0.0004 14.1435
```

---

Most stable = x

---

w.
The following is a DFT calculation (PBE) of a relaxed Y3ErCd2 crystal. Values from VASP.

The structure in Quantum ESPRESSO input format:
```
&SYSTEM
  ibrav = 0, nat = 12, ntyp = 3
/
ATOMIC_SPECIES
Y 88.91 Y.upf
Er 167.26 Er.upf
Cd 112.41 Cd.upf
ATOMIC_POSITIONS angstrom
Y 2.9165 -4.6422 7.8687
Y 0.5200 -6.6948 -0.8190
Y -1.7050 -5.1374 1.4998
Y -0.0753 -2.6935 7.8044
Y 1.0544 -2.6319 2.4835
Y 2.2527 -6.5188 4.9669
Er -0.7252 -4.5833 4.9437
Er -1.1838 -1.0738 4.7589
Cd 0.2264 -6.4161 7.3903
Cd -1.9708 -2.0195 1.8031
Cd 1.9636 -2.8100 5.4172
Cd 1.3086 -5.7512 2.1412
CELL_PARAMETERS angstrom
-4.9754 -0.5708 1.5074
0.4000 -6.7550 -1.2379
2.8514 -1.4550 8.8607
```

---

x.
The following is a DFT calculation (PBE) of a relaxed Y3ErCd2 crystal. Values from VASP.

The structure in Quantum ESPRESSO input format:
```
&SYSTEM
  ibrav = 0, nat = 6, ntyp = 3
/
ATOMIC_SPECIES
Y 88.91 Y.upf
Er 167.26 Er.upf
Cd 112.41 Cd.upf
ATOMIC_POSITIONS angstrom
Y 0.0000 0.0000 0.0000
Y -4.4329 -7.1555 2.5330
Y -1.9738 -3.1861 1.1279
Er -4.5509 -5.1177 -0.3779
Cd -6.7750 -8.7078 0.8930
Cd -2.3268 -1.5276 -1.6488
CELL_PARAMETERS angstrom
-3.1299 1.5550 -1.0846
0.4348 -1.4488 -3.3320
-6.4067 -10.3416 3.6608
```

---

Most stable = w

---

w.
The following is a DFT calculation (PBE) of a relaxed Y3Er2Cd2 crystal. Values from VASP.

The structure in Quantum ESPRESSO input format:
```
&SYSTEM
  ibrav = 0, nat = 7, ntyp = 3
/
ATOMIC_SPECIES
Y 88.91 Y.upf
Er 167.26 Er.upf
Cd 112.41 Cd.upf
ATOMIC_POSITIONS angstrom
Y 2.6843 0.0000 0.0000
Y 2.6843 0.2423 3.7244
Y 0.0000 1.8236 4.0898
Er 2.6843 3.2408 1.9929
Er 0.0000 -1.1749 5.8214
Cd 2.6843 0.4475 6.8412
Cd 0.0000 1.6183 0.9731
CELL_PARAMETERS angstrom
5.3687 0.0000 0.0000
-2.6843 4.6458 -0.2990
0.0000 -2.5799 8.1133
```

---

x.
The following is a DFT calculation (PBE) of a relaxed Y3Er2Cd2 crystal. Values from VASP.

The structure in Quantum ESPRESSO input format:
```
&SYSTEM
  ibrav = 0, nat = 7, ntyp = 3
/
ATOMIC_SPECIES
Y 88.91 Y.upf
Er 167.26 Er.upf
Cd 112.41 Cd.upf
ATOMIC_POSITIONS angstrom
Y 3.3747 -1.2590 4.8862
Y 0.0000 0.0000 0.0000
Y 7.8835 0.5369 2.7871
Er 6.8600 -2.2447 4.4246
Er 5.0635 -1.6358 1.9755
Cd 10.0079 -1.6521 4.5994
Cd 1.9155 -2.2283 1.8007
CELL_PARAMETERS angstrom
0.0921 -1.8769 4.7039
0.6652 -3.1584 -1.2732
11.1661 1.1548 2.9694
```

---

Most stable = w

---

w.
The following is a DFT calculation (PBE) of a relaxed Y3ErCd crystal. Values from VASP.

The structure in Quantum ESPRESSO input format:
```
&SYSTEM
  ibrav = 0, nat = 10, ntyp = 3
/
ATOMIC_SPECIES
Y 88.91 Y.upf
Er 167.26 Er.upf
Cd 112.41 Cd.upf
ATOMIC_POSITIONS angstrom
Y 0.2511 1.5736 1.4189
Y 4.0870 4.7858 12.6141
Y 1.7173 4.6651 9.7051
Y 2.6208 1.6942 4.3278
Y 0.6353 4.3978 3.5902
Y 3.7028 1.9615 10.4427
Er 2.9723 4.5290 6.3145
Er 1.3658 1.8304 7.7185
Cd 1.9687 4.3126 0.6426
Cd 2.3694 2.0467 13.3904
CELL_PARAMETERS angstrom
3.5973 0.0000 -0.6365
-0.0411 5.4824 -0.2324
0.7819 0.8769 14.9019
```

---

x.
The following is a DFT calculation (PBE) of a relaxed Y3ErCd crystal. Values from VASP.

The structure in Quantum ESPRESSO input format:
```
&SYSTEM
  ibrav = 0, nat = 10, ntyp = 3
/
ATOMIC_SPECIES
Y 88.91 Y.upf
Er 167.26 Er.upf
Cd 112.41 Cd.upf
ATOMIC_POSITIONS angstrom
Y 3.0394 2.3672 9.4887
Y -0.3553 6.3800 0.0634
Y 3.0394 2.3672 4.8394
Y -0.3553 6.3800 4.7126
Y 1.6754 8.0027 7.1640
Y 1.0087 0.7445 2.3880
Er 1.3636 4.6112 7.1640
Er 1.3206 4.1360 2.3880
Cd 1.0756 1.4678 7.1640
Cd 1.6086 7.2794 2.3880
CELL_PARAMETERS angstrom
3.7311 -0.3429 0.0000
-1.0470 9.0901 0.0000
0.0000 0.0000 9.5520
```

---

Most stable = w

---

w.
The following is a DFT calculation (PBE) of a relaxed YEr3Cd2 crystal. Values from VASP.

The structure in Quantum ESPRESSO input format:
```
&SYSTEM
  ibrav = 0, nat = 12, ntyp = 3
/
ATOMIC_SPECIES
Y 88.91 Y.upf
Er 167.26 Er.upf
Cd 112.41 Cd.upf
ATOMIC_POSITIONS angstrom
Y -6.3448 -2.2981 -0.1402
Y -4.0932 -1.4039 2.4526
Er -6.5798 -6.8240 0.7397
Er -3.7330 -0.8362 -5.5749
Er -5.0210 0.1598 -2.4317
Er -6.5337 -4.0270 2.9089
Er -2.7847 -2.3698 -0.7106
Er -6.4157 -5.1258 -2.2964
Cd -8.6459 -4.5193 -0.2079
Cd -3.2646 0.5994 0.1002
Cd -4.2810 -4.6073 0.8118
Cd -4.5570 -2.8347 -3.2231
CELL_PARAMETERS angstrom
-3.4042 3.4730 1.7585
-3.5697 -0.5283 -5.8670
-5.1039 -6.8893 3.7258
```

---

x.
The following is a DFT calculation (PBE) of a relaxed YEr3Cd2 crystal. Values from VASP.

The structure in Quantum ESPRESSO input format:
```
&SYSTEM
  ibrav = 0, nat = 6, ntyp = 3
/
ATOMIC_SPECIES
Y 88.91 Y.upf
Er 167.26 Er.upf
Cd 112.41 Cd.upf
ATOMIC_POSITIONS angstrom
Y 5.1318 0.8910 4.5271
Er 0.0000 0.0000 0.0000
Er 7.1673 3.7013 3.7430
Er 3.1694 1.6367 1.6552
Cd 8.7367 2.7526 6.4096
Cd 1.5270 -0.9705 2.6445
CELL_PARAMETERS angstrom
-1.5457 -0.2893 3.2458
1.4727 -3.2666 0.4102
10.3367 5.3379 5.3982
```

---

Most stable = w

---

w.
The following is a DFT calculation (PBE) of a relaxed Er4Zn2Cd crystal. Values from VASP.

The structure in Quantum ESPRESSO input format:
```
&SYSTEM
  ibrav = 0, nat = 7, ntyp = 3
/
ATOMIC_SPECIES
Er 167.26 Er.upf
Zn 65.41 Zn.upf
Cd 112.41 Cd.upf
ATOMIC_POSITIONS angstrom
Er 6.0427 3.7160 5.9756
Er 0.8964 0.5513 5.5697
Er 4.2848 2.6350 3.1633
Er 2.6543 1.6323 8.3820
Zn 5.1756 3.1828 8.7508
Zn 1.7635 1.0844 2.7945
Cd 0.0000 0.0000 0.0000
CELL_PARAMETERS angstrom
4.8041 0.0000 1.5009
2.1676 4.2873 1.5009
-0.0326 -0.0201 8.5434
```

---

x.
The following is a DFT calculation (PBE) of a relaxed Er4Zn2Cd crystal. Values from VASP.

The structure in Quantum ESPRESSO input format:
```
&SYSTEM
  ibrav = 0, nat = 7, ntyp = 3
/
ATOMIC_SPECIES
Er 167.26 Er.upf
Zn 65.41 Zn.upf
Cd 112.41 Cd.upf
ATOMIC_POSITIONS angstrom
Er 4.9323 2.8476 7.6539
Er 2.4661 1.4238 3.4634
Er 7.3984 4.2715 5.5031
Er 4.9323 2.8476 1.3126
Zn 2.4661 1.4238 6.3421
Zn 7.3984 4.2715 2.6244
Cd 0.0000 0.0000 0.0000
CELL_PARAMETERS angstrom
4.9323 0.0000 0.0000
2.4661 4.2715 0.0000
2.4661 1.4238 8.9664
```

---

Most stable = w

---

w.
The following is a DFT calculation (PBE) of a relaxed Er2Zn2Cd3 crystal. Values from VASP.

The structure in Quantum ESPRESSO input format:
```
&SYSTEM
  ibrav = 0, nat = 7, ntyp = 3
/
ATOMIC_SPECIES
Er 167.26 Er.upf
Zn 65.41 Zn.upf
Cd 112.41 Cd.upf
ATOMIC_POSITIONS angstrom
Er -0.4548 -0.6195 7.1824
Er 0.7795 -0.0205 3.2547
Zn -1.4674 1.0742 4.9212
Zn 0.9058 1.6432 5.7493
Cd -2.1400 1.0919 2.1128
Cd 1.5784 1.6255 8.5577
Cd 0.0000 0.0000 0.0000
CELL_PARAMETERS angstrom
-0.8863 3.3574 0.2334
-4.1155 -1.1545 0.9784
4.4403 0.5146 9.4587
```

---

x.
The following is a DFT calculation (PBE) of a relaxed Er2Zn2Cd3 crystal. Values from VASP.

The structure in Quantum ESPRESSO input format:
```
&SYSTEM
  ibrav = 0, nat = 7, ntyp = 3
/
ATOMIC_SPECIES
Er 167.26 Er.upf
Zn 65.41 Zn.upf
Cd 112.41 Cd.upf
ATOMIC_POSITIONS angstrom
Er 3.1204 -2.5757 0.1307
Er 3.1675 2.1270 3.8889
Zn 4.5989 -0.4875 3.7914
Zn 1.6889 0.0387 0.2282
Cd -0.1046 -1.8253 1.0835
Cd 1.9579 -0.8071 2.9978
Cd 4.3300 0.3584 1.0218
CELL_PARAMETERS angstrom
-0.2092 -3.6506 2.1670
3.8236 -0.2509 -4.2222
2.6734 3.4528 6.0747
```

---

Most stable = x